[1]
GdLu2Sc | PBE-GGA | relaxed

M_tot = 7.0 μB per cell
Energy above the lowest structure with this stoichiometry = 0.000 eV per atom
Calculated formation energy = 48 meV per atom
Uncorrected energy = -7.316 eV per atom

CIF file:
```
data_GdLu2Sc
_chemical_formula_sum 'Gd1 Lu2 Sc1'
_cell_length_a 4.8449
_cell_length_b 4.8449
_cell_length_c 4.8891
_cell_angle_alpha 90.00
_cell_angle_beta 90.00
_cell_angle_gamma 90.00
_space_group_name_H-M_alt 'P 4/m m m'
_space_group_IT_number 123
_space_group_name_Hall '-P 4 2'
loop_
_atom_site_label
_atom_site_fract_x
_atom_site_fract_y
_atom_site_fract_z
Gd1 0.0000 0.0000 0.0000
Lu1 0.0000 0.5000 0.5000
Sc1 0.5000 0.5000 0.0000
```

=====

[2]
Cs5LiI6 | PBE-GGA | relaxed

M_tot = 0.0 μB per cell
Uncorrected energy = -2.731 eV per atom
Formation energy (no corrections) = -17.29 eV per formula unit

CIF file:
```
data_Cs5LiI6
_chemical_formula_sum 'Cs10 Li2 I12'
_cell_length_a 9.3672
_cell_length_b 16.4208
_cell_length_c 9.2998
_cell_angle_alpha 90.00
_cell_angle_beta 109.36
_cell_angle_gamma 90.00
_space_group_name_H-M_alt 'C 1 2/m 1'
_space_group_IT_number 12
_space_group_name_Hall '-C 2y'
loop_
_atom_site_label
_atom_site_fract_x
_atom_site_fract_y
_atom_site_fract_z
Cs1 0.0000 0.0000 0.0000
Cs2 0.0000 0.1693 0.5000
Cs3 0.0000 0.3339 0.0000
Li1 0.0000 0.5000 0.5000
I1 0.1867 0.5000 0.3151
I2 0.2485 0.3386 0.7500
```

=====

[3]
TbPm4Nd3Se8 | PBE-GGA | relaxed

M_tot = 0.0 μB per cell
Uncorrected energy = -5.935 eV per atom
Formation energy (no corrections) = -29.14 eV per formula unit

CIF file:
```
data_TbPm4Nd3Se8
_chemical_formula_sum 'Tb3 Pm12 Nd9 Se24'
_cell_length_a 8.4019
_cell_length_b 8.4019
_cell_length_c 20.5513
_cell_angle_alpha 90.00
_cell_angle_beta 90.00
_cell_angle_gamma 120.00
_space_group_name_H-M_alt 'R -3 m'
_space_group_IT_number 166
_space_group_name_Hall '-R 3 2"'
loop_
_atom_site_label
_atom_site_fract_x
_atom_site_fract_y
_atom_site_fract_z
Tb1 0.0000 0.0000 0.0000
Pm1 0.0000 0.0000 0.5000
Pm2 0.0000 0.5000 0.5000
Nd1 0.0000 0.5000 0.0000
Se1 0.0000 0.0000 0.2490
Se2 0.0060 0.5030 0.7495
```

=====

[4]
LiTbPb | PBE-GGA | relaxed

M_tot = 0.0 μB per cell
Calculated formation energy = -225 meV per atom
Uncorrected energy = -3.642 eV per atom

CIF file:
```
data_LiTbPb
_chemical_formula_sum 'Li2 Tb2 Pb2'
_cell_length_a 3.6006
_cell_length_b 3.6006
_cell_length_c 11.6277
_cell_angle_alpha 90.00
_cell_angle_beta 90.00
_cell_angle_gamma 90.00
_space_group_name_H-M_alt 'I 4 m m'
_space_group_IT_number 107
_space_group_name_Hall 'I 4 -2'
loop_
_atom_site_label
_atom_site_fract_x
_atom_site_fract_y
_atom_site_fract_z
Li1 0.0000 0.0000 0.0000
Tb1 0.0000 0.0000 0.3091
Pb1 0.0000 0.0000 0.6207
```

=====

[5]
PuInHgTe3 | PBE-GGA | relaxed

M_tot = 10.0 μB per cell
Uncorrected energy = -4.924 eV per atom
Formation energy (no corrections) = -2.75 eV per formula unit

CIF file:
```
data_PuInHgTe3
_chemical_formula_sum 'Pu2 In2 Hg2 Te6'
_cell_length_a 10.1353
_cell_length_b 4.5093
_cell_length_c 10.4292
_cell_angle_alpha 90.00
_cell_angle_beta 107.91
_cell_angle_gamma 90.00
_space_group_name_H-M_alt 'P 1 21/m 1'
_space_group_IT_number 11
_space_group_name_Hall '-P 2yb'
loop_
_atom_site_label
_atom_site_fract_x
_atom_site_fract_y
_atom_site_fract_z
Pu1 0.1728 0.2500 0.1226
In1 0.4149 0.7500 0.3590
Hg1 0.2715 0.7500 0.7419
Te1 0.0100 0.2500 0.8227
Te2 0.2963 0.2500 0.4653
Te3 0.3741 0.7500 0.0827
```

=====

[6]
RbNa2Zn2Bi2 | PBE-GGA | relaxed

M_tot = 0.0 μB per cell
Calculated formation energy = -214 meV per atom
Uncorrected energy = -2.202 eV per atom

CIF file:
```
data_RbNa2Zn2Bi2
_chemical_formula_sum 'Rb3 Na6 Zn6 Bi6'
_cell_length_a 4.8988
_cell_length_b 4.8988
_cell_length_c 30.8556
_cell_angle_alpha 90.00
_cell_angle_beta 90.00
_cell_angle_gamma 120.00
_space_group_name_H-M_alt 'R -3 m'
_space_group_IT_number 166
_space_group_name_Hall '-R 3 2"'
loop_
_atom_site_label
_atom_site_fract_x
_atom_site_fract_y
_atom_site_fract_z
Rb1 0.0000 0.0000 0.0000
Na1 0.0000 0.0000 0.1422
Zn1 0.0000 0.0000 0.4472
Bi1 0.0000 0.0000 0.2472
```

=====

[7]
CaZnRu2 | PBE-GGA | relaxed

M_tot = 0.0 μB per cell
Calculated formation energy = 224 meV per atom
Uncorrected energy = -5.233 eV per atom

CIF file:
```
data_CaZnRu2
_chemical_formula_sum 'Ca2 Zn2 Ru4'
_cell_length_a 8.3203
_cell_length_b 2.9682
_cell_length_c 6.1002
_cell_angle_alpha 90.00
_cell_angle_beta 97.90
_cell_angle_gamma 90.00
_space_group_name_H-M_alt 'C 1 m 1'
_space_group_IT_number 8
_space_group_name_Hall 'C -2y'
loop_
_atom_site_label
_atom_site_fract_x
_atom_site_fract_y
_atom_site_fract_z
Ca1 0.0000 0.0000 0.0000
Zn1 0.2638 0.5000 0.3144
Ru1 0.0016 0.5000 0.5251
Ru2 0.2463 0.0000 0.6696
```

=====

[8]
Nd4PuIn5 | PBE-GGA | relaxed

M_tot = 5.6 μB per cell
Calculated formation energy = -404 meV per atom
Uncorrected energy = -5.114 eV per atom

CIF file:
```
data_Nd4PuIn5
_chemical_formula_sum 'Nd4 Pu1 In5'
_cell_length_a 3.6352
_cell_length_b 3.6352
_cell_length_c 21.6319
_cell_angle_alpha 90.00
_cell_angle_beta 90.00
_cell_angle_gamma 90.00
_space_group_name_H-M_alt 'P 4/m m m'
_space_group_IT_number 123
_space_group_name_Hall '-P 4 2'
loop_
_atom_site_label
_atom_site_fract_x
_atom_site_fract_y
_atom_site_fract_z
Nd1 0.0000 0.0000 0.1000
Nd2 0.0000 0.0000 0.3004
Pu1 0.0000 0.0000 0.5000
In1 0.5000 0.5000 0.0000
In2 0.5000 0.5000 0.2007
In3 0.5000 0.5000 0.4021
```

=====

[9]
Pm4Sm5Sc2 | PBE-GGA | relaxed

M_tot = 0.0 μB per cell
Energy above the lowest structure with this stoichiometry = 0.000 eV per atom
Calculated formation energy = 104 meV per atom
Uncorrected energy = -4.920 eV per atom

CIF file:
```
data_Pm4Sm5Sc2
_chemical_formula_sum 'Pm4 Sm5 Sc2'
_cell_length_a 3.5990
_cell_length_b 9.4113
_cell_length_c 11.5347
_cell_angle_alpha 69.80
_cell_angle_beta 81.04
_cell_angle_gamma 89.99
_space_group_name_H-M_alt 'P -1'
_space_group_IT_number 2
_space_group_name_Hall '-P 1'
loop_
_atom_site_label
_atom_site_fract_x
_atom_site_fract_y
_atom_site_fract_z
Pm1 0.1216 0.1327 0.2577
Pm2 0.3742 0.5333 0.7518
Sm1 0.0000 0.5000 0.5000
Sm2 0.3204 0.1394 0.8565
Sm3 0.4862 0.1718 0.5274
Sc1 0.2531 0.6523 0.9945
```

=====

[10]
HfMg2Fe9 | PBE-GGA | relaxed

M_tot = 48.9 μB per cell
Calculated formation energy = 5 meV per atom
Uncorrected energy = -7.437 eV per atom

CIF file:
```
data_HfMg2Fe9
_chemical_formula_sum 'Hf3 Mg6 Fe27'
_cell_length_a 4.8484
_cell_length_b 4.8484
_cell_length_c 23.5701
_cell_angle_alpha 90.00
_cell_angle_beta 90.00
_cell_angle_gamma 120.00
_space_group_name_H-M_alt 'R -3 m'
_space_group_IT_number 166
_space_group_name_Hall '-R 3 2"'
loop_
_atom_site_label
_atom_site_fract_x
_atom_site_fract_y
_atom_site_fract_z
Hf1 0.0000 0.0000 0.0000
Mg1 0.0000 0.0000 0.1430
Fe1 0.0000 0.0000 0.3343
Fe2 0.0000 0.0000 0.5000
Fe3 0.0038 0.5019 0.9159
```

=====

[11]
Zr2TlAs | PBE-GGA | relaxed

M_tot = 0.0 μB per cell
Energy above the lowest structure with this stoichiometry = 0.139 eV per atom
Calculated formation energy = -442 meV per atom
Uncorrected energy = -6.470 eV per atom

CIF file:
```
data_Zr2TlAs
_chemical_formula_sum 'Zr4 Tl2 As2'
_cell_length_a 4.0336
_cell_length_b 5.2159
_cell_length_c 8.2560
_cell_angle_alpha 90.00
_cell_angle_beta 90.00
_cell_angle_gamma 90.00
_space_group_name_H-M_alt 'C m m m'
_space_group_IT_number 65
_space_group_name_Hall '-C 2 2'
loop_
_atom_site_label
_atom_site_fract_x
_atom_site_fract_y
_atom_site_fract_z
Zr1 0.0000 0.0000 0.2160
Tl1 0.0000 0.5000 0.5000
As1 0.0000 0.5000 0.0000
```

=====

[12]
CuH2Cl | PBE-GGA | relaxed

M_tot = 0.0 μB per cell
Energy above the lowest structure with this stoichiometry = 0.670 eV per atom
Uncorrected energy = -2.685 eV per atom

CIF file:
```
data_CuH2Cl
_chemical_formula_sum 'Cu4 H8 Cl4'
_cell_length_a 4.7279
_cell_length_b 4.7279
_cell_length_c 8.2657
_cell_angle_alpha 90.00
_cell_angle_beta 90.00
_cell_angle_gamma 90.00
_space_group_name_H-M_alt 'I -4 2 d'
_space_group_IT_number 122
_space_group_name_Hall 'I -4 2bw'
loop_
_atom_site_label
_atom_site_fract_x
_atom_site_fract_y
_atom_site_fract_z
Cu1 0.0000 0.0000 0.0000
H1 0.0981 0.2500 0.1250
Cl1 0.0000 0.0000 0.5000
```